This record from the Alexandria database describes a crystal of TaPS2 relaxed with PBEsol. The functional is SCAN.

## Properties
* formation energy without anion corrections: -0.356 eV per atom
* uncorrected energy: -24.42 eV per atom
* spin magnetization: 0.0 μB per formula unit

POSCAR file:
```
TaPS2
1.0
-0.414 1.343 2.858
-1.641 -1.534 2.258
6.115 -3.510 4.308
P S Ta
1 2 1
direct
0.000 0.000 0.000
0.901 0.901 0.298
0.099 0.099 0.702
0.500 0.500 0.500
```